Below is a relaxed SrGa3Ir crystal, with properties calculated at the GGA-PBE level.

Properties
The calculation puts the calculated total energy at -4.38 eV per atom. The calculation puts the magnetic moment at 0.00 μB per cell. For the energy above the most stable polymorph in this dataset, the calculation gives 0.049 eV per atom.

a = 6.3057 Å, b = 9.6793 Å, c = 7.2626 Å
α = 90.00°, β = 90.00°, γ = 90.00°
Closest atoms and distances in Å follow each position.
Space group Imma (No. 74)
Inequivalent atoms, fractional coordinates:
Sr  0.0000  0.2500  0.0899 (multiplicity 4)  12 Ga 3.38-3.72
Ga  0.0000  0.2500  0.5779 (multiplicity 4)  2 Ir 2.49
Ga  0.2500  0.0490  0.7500 (multiplicity 8)  2 Ir 2.45
Ir  0.0000  0.0000  0.5000 (multiplicity 4)  6 Ga 2.45-2.49